Entry 1:
# YCu2Ag | Alexandria via LeMat-Bulk | meta-GGA SCAN | PBEsol geometry
# - Uncorrected energy: -89.90 eV/f.u.
# - Calculated volume: 135.3 Å³ per cell
# - Calculated formation energy: -0.07 eV per atom
# - Magnetization: 0.00 μB per formula unit
data_YCu2Ag
_chemical_formula_sum 'Y2 Cu4 Ag2'
_cell_length_a 4.140
_cell_length_b 4.140
_cell_length_c 7.893
_cell_angle_alpha 90.00
_cell_angle_beta 90.00
_cell_angle_gamma 90.00
_space_group_name_H-M_alt 'I -4 m 2'
_space_group_IT_number 119
_space_group_name_Hall 'I -4 -2'
loop_
_atom_site_label
_atom_site_fract_x
_atom_site_fract_y
_atom_site_fract_z
Y1 0.000 0.000 0.000
Cu1 0.000 0.000 0.500
Cu2 0.000 0.500 0.750
Ag1 0.000 0.500 0.250

=====

Entry 2:
# CaCdSe | Alexandria via LeMat-Bulk | meta-GGA SCAN | PBEsol geometry
# - Formation energy (no corrections): -0.73 eV per atom
# - Uncorrected energy: -62.35 eV/f.u.
# - Calculated volume: 352.5 Å³ per cell
# - Magnetization: 0.00 μB per formula unit
data_CaCdSe
_chemical_formula_sum 'Ca4 Cd4 Se4'
_cell_length_a 7.064
_cell_length_b 7.064
_cell_length_c 7.064
_cell_angle_alpha 90.00
_cell_angle_beta 90.00
_cell_angle_gamma 90.00
_space_group_name_H-M_alt 'F -4 3 m'
_space_group_IT_number 216
_space_group_name_Hall 'F -4 2 3'
loop_
_atom_site_label
_atom_site_fract_x
_atom_site_fract_y
_atom_site_fract_z
Ca1 0.000 0.000 0.000
Cd1 0.000 0.000 0.500
Se1 0.250 0.250 0.250